Here is CaZrReSn2 after structural relaxation from the Alexandria database. Energies are from PBE.

As for the density of states at the Fermi level: 0.929 states/eV per atom. The total magnetization comes out at 0.335 μB per atom. The value obtained for the final energy is -5.48 eV per atom.

The structure belongs to space group P4/mmm (No. 123); the cell edges are 5.514, 5.514 and 4.983 Å and the angles 90.00°, 90.00° and 90.00°. The asymmetric unit holds Ca at (0.000, 0.000, 0.000), Zr at (0.500, 0.500, 0.500), Re at (0.500, 0.500, 0.000) and Sn at (0.000, 0.500, 0.500).


Here is ZrNiMoC2 after structural relaxation from the Alexandria database. Energies are from PBE.

As for the density of states at the Fermi level: 0.616 states/eV per atom. The total magnetization comes out at 0.000 μB per atom. The value obtained for the final energy is -7.71 eV per atom.

The structure belongs to space group P4/mmm (No. 123); the cell edges are 4.016, 4.016 and 4.478 Å and the angles 90.00°, 90.00° and 90.00°. The asymmetric unit holds Zr at (0.000, 0.000, 0.000), Ni at (0.500, 0.500, 0.000), Mo at (0.500, 0.500, 0.500) and C at (0.000, 0.500, 0.500).


Here is Ta2CoPt after structural relaxation from the Alexandria database. Energies are from PBE.

As for the density of states at the Fermi level: 0.867 states/eV per atom. The total magnetization comes out at 0.000 μB per atom. The value obtained for the final energy is -9.58 eV per atom.

The structure belongs to space group P2/m (No. 10); the cell edges are 2.807, 3.933 and 5.595 Å and the angles 90.00°, 94.20° and 90.00°. The asymmetric unit holds Ta at (0.037, 0.000, 0.263), Co at (0.500, 0.500, 0.500) and Pt at (0.500, 0.500, 0.000).


Here is Sr2CaAu2 after structural relaxation from the Alexandria database. Energies are from PBE.

The excess energy over the best structure of this formula in the dataset is 364 meV/atom. As for the density of states at the Fermi level: 0.627 states/eV per atom. The total magnetization comes out at 0.000 μB per atom. The value obtained for the final energy is -2.70 eV per atom.

The structure belongs to space group I4/mmm (No. 139); the cell edges are 5.718, 5.718 and 11.442 Å and the angles 90.00°, 90.00° and 90.00°. The asymmetric unit holds Sr at (0.000, 0.000, 0.161), Ca at (0.000, 0.000, 0.500) and Au at (0.000, 0.500, 0.250).


Here is AcYCoIr after structural relaxation from the Alexandria database. Energies are from PBE.

As for the density of states at the Fermi level: 0.432 states/eV per atom. The total magnetization comes out at 0.150 μB per atom. The value obtained for the final energy is -6.88 eV per atom.

The structure belongs to space group F-43m (No. 216); the cell edges are 7.106, 7.106 and 7.106 Å and the angles 90.00°, 90.00° and 90.00°. The asymmetric unit holds Ac at (0.000, 0.000, 0.000), Y at (0.000, 0.000, 0.500), Co at (0.250, 0.250, 0.750) and Ir at (0.250, 0.250, 0.250).


Here is Pu3Mn5N12 after structural relaxation from the Alexandria database. Energies are from PBE.

As for the density of states at the Fermi level: 0.931 states/eV per atom. The total magnetization comes out at 1.087 μB per atom. The value obtained for the final energy is -9.94 eV per atom.

The structure belongs to space group Ia-3d (No. 230); the cell edges are 12.174, 12.174 and 12.174 Å and the angles 90.00°, 90.00° and 90.00°. The asymmetric unit holds Pu at (0.000, 0.250, 0.125), Mn at (0.000, 0.000, 0.000), Mn at (0.000, 0.250, 0.375) and N at (0.031, 0.053, 0.653).